# 1
{
  "formula": "TaAgSbC2",
  "functional": "PBE-GGA",
  "state": "relaxed",
  "formation_energy_uncorrected_ev_per_atom": 1.38,
  "energy_ev_per_atom": -6.076,
  "spacegroup": "No. 123",
  "volume_a3_per_cell": 99.7,
  "lattice_angstrom": [[-2.171, 1.074, -3.356], [-1.267, -5.598, -0.973], [-3.407, 0.368, 2.321]],
  "species": ["C", "C", "Ag", "Ta", "Sb"],
  "fractional_positions": [[0.500, 0.000, 0.000], [0.000, 0.000, 0.500], [0.500, 0.500, 0.500], [0.000, 0.000, 0.000], [0.000, 0.500, 0.000]]
}


# 2
{
  "formula": "RbU2PaS8",
  "functional": "PBE-GGA",
  "state": "relaxed",
  "formation_energy_uncorrected_ev_per_atom": -1.22,
  "energy_ev_per_atom": -6.724,
  "spacegroup": "No. 10",
  "volume_a3_per_cell": 338.9,
  "lattice_angstrom": [[6.515, 0.044, -0.004], [0.113, 6.224, -0.007], [0.007, 0.010, 8.359]],
  "species": ["U", "U", "S", "S", "S", "S", "S", "S", "S", "S", "Rb", "Pa"],
  "fractional_positions": [[0.500, 0.500, 0.249], [0.500, 0.500, 0.751], [0.664, 0.723, 0.000], [0.172, 0.743, 0.209], [0.828, 0.257, 0.791], [0.172, 0.743, 0.791], [0.394, 0.279, 0.500], [0.336, 0.277, 0.000], [0.828, 0.257, 0.209], [0.606, 0.721, 0.500], [0.000, 0.000, 0.500], [0.000, 0.000, 0.000]]
}


# 3
{
  "formula": "Cu2PPb",
  "functional": "PBE-GGA",
  "state": "relaxed",
  "energy_ev_per_atom": -4.099,
  "spacegroup": "No. 25",
  "volume_a3_per_cell": 72.0,
  "lattice_angstrom": [[-2.763, 1.248, 0.362], [-0.808, -0.896, -3.077], [-2.486, -6.216, 2.463]],
  "species": ["P", "Cu", "Cu", "Pb"],
  "fractional_positions": [[0.000, 0.000, 0.395], [0.000, 0.000, 0.066], [0.500, 0.500, 0.256], [0.500, 0.500, 0.783]]
}


# 4
{
  "formula": "CeHoZnIn",
  "functional": "PBE-GGA",
  "state": "relaxed",
  "energy_ev_per_atom": -3.942,
  "spacegroup": "No. 216",
  "volume_a3_per_cell": 102.4,
  "lattice_angstrom": [[-1.545, 1.749, -4.703], [-5.117, 0.295, -1.140], [-2.329, 4.687, -0.423]],
  "species": ["Zn", "In", "Ho", "Ce"],
  "fractional_positions": [[0.000, 0.000, 0.000], [0.500, 0.500, 0.500], [0.750, 0.750, 0.750], [0.250, 0.250, 0.250]]
}


# 5
{
  "formula": "BaAl2CdSe",
  "functional": "PBE-GGA",
  "state": "relaxed",
  "formation_energy_uncorrected_ev_per_atom": -0.05,
  "energy_ev_per_atom": -2.815,
  "spacegroup": "No. 123",
  "volume_a3_per_cell": 157.3,
  "lattice_angstrom": [[-1.522, -4.554, -1.599], [-1.681, -1.448, 5.726], [-4.624, 1.857, -0.887]],
  "species": ["Al", "Al", "Cd", "Se", "Ba"],
  "fractional_positions": [[0.000, 0.000, 0.500], [0.500, 0.000, 0.000], [0.000, 0.000, 0.000], [0.000, 0.500, 0.000], [0.500, 0.500, 0.500]]
}


# 6
{
  "formula": "BaSc2Ta",
  "functional": "PBE-GGA",
  "state": "relaxed",
  "energy_ev_per_atom": -6.154,
  "polymorph_energy_kcal_per_mol_atoms": 2.57,
  "spacegroup": "No. 166",
  "volume_a3_per_cell": 105.6,
  "lattice_angstrom": [[-4.120, -10.625, -0.490], [-3.442, -10.230, -3.687], [-1.088, -11.238, -1.618]],
  "species": ["Ba", "Sc", "Sc", "Ta"],
  "fractional_positions": [[0.250, 0.250, 0.250], [0.014, 0.014, 0.014], [0.486, 0.486, 0.486], [0.750, 0.750, 0.750]]
}


# 7
{
  "formula": "Dy4FeSb",
  "functional": "PBE-GGA",
  "state": "relaxed",
  "formation_energy_uncorrected_ev_per_atom": -0.39,
  "energy_ev_per_atom": -5.559,
  "spacegroup": "No. 15",
  "volume_a3_per_cell": 320.0,
  "lattice_angstrom": [[-5.032, 3.236, -0.685], [1.876, -1.692, -7.467], [-2.627, -6.271, 3.989]],
  "species": ["Dy", "Dy", "Dy", "Dy", "Dy", "Dy", "Dy", "Dy", "Fe", "Fe", "Sb", "Sb"],
  "fractional_positions": [[0.140, 0.352, 0.208], [0.940, 0.057, 0.728], [0.060, 0.943, 0.272], [0.860, 0.648, 0.792], [0.440, 0.728, 0.057], [0.640, 0.208, 0.352], [0.360, 0.792, 0.648], [0.560, 0.272, 0.943], [0.750, 0.000, 0.000], [0.250, 0.000, 0.000], [0.750, 0.627, 0.373], [0.250, 0.373, 0.627]]
}


# 8
{
  "formula": "Cd2InPb",
  "functional": "PBE-GGA",
  "state": "relaxed",
  "energy_ev_per_atom": -2.019,
  "polymorph_energy_kcal_per_mol_atoms": 0.61,
  "spacegroup": "No. 44",
  "volume_a3_per_cell": 105.7,
  "lattice_angstrom": [[-5.547, 0.287, -1.659], [-0.656, -2.741, -5.066], [2.583, -1.693, 4.906]],
  "species": ["Pb", "Cd", "Cd", "In"],
  "fractional_positions": [[0.252, 0.752, 0.500], [0.005, 0.005, 0.000], [0.748, 0.248, 0.500], [0.496, 0.496, 0.000]]
}


# 9
{
  "formula": "Pa2Ti2Se7",
  "functional": "PBE-GGA",
  "state": "relaxed",
  "formation_energy_uncorrected_ev_per_atom": -1.07,
  "energy_ev_per_atom": -6.450,
  "spacegroup": "No. 227",
  "volume_a3_per_cell": 552.3,
  "lattice_angstrom": [[-2.610, -3.982, 7.883], [4.347, -7.540, 3.010], [5.437, 0.472, 7.418]],
  "species": ["Se", "Se", "Se", "Se", "Se", "Se", "Se", "Se", "Se", "Se", "Se", "Se", "Se", "Se", "Pa", "Pa", "Pa", "Pa", "Ti", "Ti", "Ti", "Ti"],
  "fractional_positions": [[0.469, 0.031, 0.031], [0.781, 0.781, 0.219], [0.781, 0.219, 0.219], [0.031, 0.469, 0.031], [0.219, 0.781, 0.219], [0.469, 0.031, 0.469], [0.219, 0.781, 0.781], [0.750, 0.750, 0.750], [0.219, 0.219, 0.781], [0.031, 0.031, 0.469], [0.500, 0.500, 0.500], [0.781, 0.219, 0.781], [0.469, 0.469, 0.031], [0.031, 0.469, 0.469], [0.625, 0.625, 0.125], [0.625, 0.625, 0.625], [0.625, 0.125, 0.625], [0.125, 0.625, 0.625], [0.125, 0.625, 0.125], [0.625, 0.125, 0.125], [0.125, 0.125, 0.125], [0.125, 0.125, 0.625]]
}


# 10
{
  "formula": "Be2Tc2Pt",
  "functional": "PBE-GGA",
  "state": "relaxed",
  "energy_ev_per_atom": -7.124,
  "spacegroup": "No. 127",
  "volume_a3_per_cell": 119.0,
  "lattice_angstrom": [[-4.143, 1.224, -4.127], [3.250, -2.868, -4.113], [-1.575, -2.843, 0.738]],
  "species": ["Be", "Be", "Be", "Be", "Tc", "Tc", "Tc", "Tc", "Pt", "Pt"],
  "fractional_positions": [[0.124, 0.376, 0.000], [0.624, 0.124, 0.000], [0.876, 0.624, 0.000], [0.376, 0.876, 0.000], [0.828, 0.328, 0.500], [0.328, 0.172, 0.500], [0.172, 0.672, 0.500], [0.672, 0.828, 0.500], [0.000, 0.000, 0.000], [0.500, 0.500, 0.000]]
}


# 11
{
  "formula": "BaAcCoN2",
  "functional": "PBE-GGA",
  "state": "relaxed",
  "formation_energy_uncorrected_ev_per_atom": -0.49,
  "energy_ev_per_atom": -6.448,
  "spacegroup": "No. 13",
  "volume_a3_per_cell": 235.7,
  "lattice_angstrom": [[-1.539, -4.561, -2.345], [0.669, -2.854, 5.113], [-7.102, 1.487, 1.768]],
  "species": ["Ba", "Ba", "N", "N", "N", "N", "Co", "Co", "Ac", "Ac"],
  "fractional_positions": [[0.000, 0.500, 0.250], [0.000, 0.500, 0.750], [0.247, 0.207, 0.000], [0.753, 0.793, 0.000], [0.753, 0.207, 0.500], [0.247, 0.793, 0.500], [0.000, 0.000, 0.000], [0.000, 0.000, 0.500], [0.500, 0.000, 0.250], [0.500, 0.000, 0.750]]
}


# 12
{
  "formula": "Zr8Ga2Sn",
  "functional": "PBE-GGA",
  "state": "relaxed",
  "energy_ev_per_atom": -7.351,
  "spacegroup": "No. 12",
  "volume_a3_per_cell": 246.4,
  "lattice_angstrom": [[-0.906, 2.379, -4.525], [-7.013, -0.580, 2.749], [4.574, 4.989, 3.356]],
  "species": ["Zr", "Zr", "Zr", "Zr", "Zr", "Zr", "Zr", "Zr", "Ga", "Ga", "Sn"],
  "fractional_positions": [[0.701, 0.413, 0.413], [0.882, 0.683, 0.920], [0.500, 0.766, 0.234], [0.500, 0.234, 0.766], [0.118, 0.317, 0.080], [0.882, 0.920, 0.683], [0.299, 0.587, 0.587], [0.118, 0.080, 0.317], [0.000, 0.692, 0.308], [0.000, 0.308, 0.692], [0.500, 0.000, 0.000]]
}


# 13
{
  "formula": "ZnMoSe2",
  "functional": "PBE-GGA",
  "state": "relaxed",
  "formation_energy_uncorrected_ev_per_atom": 0.27,
  "energy_ev_per_atom": -4.499,
  "spacegroup": "No. 12",
  "volume_a3_per_cell": 68.5,
  "lattice_angstrom": [[-2.530, 1.493, -3.571], [-2.821, -3.628, 0.511], [-2.172, 1.565, 1.809]],
  "species": ["Se", "Se", "Zn", "Mo"],
  "fractional_positions": [[0.500, 0.500, 0.000], [0.000, 0.000, 0.000], [0.500, 0.000, 0.500], [0.000, 0.500, 0.500]]
}


# 14
{
  "formula": "FeMo2Ir",
  "functional": "PBE-GGA",
  "state": "relaxed",
  "energy_ev_per_atom": -9.611,
  "polymorph_energy_kcal_per_mol_atoms": 4.83,
  "spacegroup": "No. 166",
  "volume_a3_per_cell": 57.4,
  "lattice_angstrom": [[-3.903, 7.801, -2.120], [-5.262, 6.171, -3.849], [-6.121, 6.444, -1.264]],
  "species": ["Ir", "Mo", "Mo", "Fe"],
  "fractional_positions": [[0.750, 0.750, 0.750], [0.997, 0.997, 0.997], [0.503, 0.503, 0.503], [0.250, 0.250, 0.250]]
}